Crystalline Ca2AlCo at its relaxed geometry, computed with PBE.

Cell lengths 4.149, 4.378, 11.029 Å; angles 90.00, 90.00, 90.00 degrees
Space group Amm2 (No. 38)
Inequivalent atoms, fractional coordinates:
Ca 0.000 0.000 0.000
Ca 0.500 0.000 0.285
Al 0.500 0.000 0.589
Co 0.000 0.000 0.690

The value obtained for the final energy is -3.74 eV per atom.

=====

Crystalline LaPb2Au2 at its relaxed geometry, computed with PBE.

Cell lengths 8.628, 8.628, 3.497 Å; angles 90.00, 90.00, 90.00 degrees
Space group P4/mbm (No. 127)
Inequivalent atoms, fractional coordinates:
La 0.000 0.000 0.000
Pb 0.136 0.364 0.000
Au 0.163 0.663 0.500

The value obtained for the final energy is -4.02 eV per atom.

=====

Q: Which value of final energy does entry 2 give?
A: -4.02 eV per atom

=====

Copy entry 1 word for word.
Crystalline Ca2AlCo at its relaxed geometry, computed with PBE.

Cell lengths 4.149, 4.378, 11.029 Å; angles 90.00, 90.00, 90.00 degrees
Space group Amm2 (No. 38)
Inequivalent atoms, fractional coordinates:
Ca 0.000 0.000 0.000
Ca 0.500 0.000 0.285
Al 0.500 0.000 0.589
Co 0.000 0.000 0.690

The value obtained for the final energy is -3.74 eV per atom.

=====

Q: Look up the final energy of the first one.
A: -3.74 eV per atom

=====

Q: Which of these has the lowest final energy?
A: LaPb2Au2